Density functional theory data (PBE) for a relaxed structure of Cd3SiW.

abc: 5.2589 5.2589 5.2589
angles: 90.00 90.00 90.00
Closest atoms and distances in Å follow each position.
Fractional coordinates of all 5 atoms:
Si1 0.5000 0.5000 0.5000  12 Cd 3.72
W1 0.0000 0.0000 0.0000  6 Cd 2.63
Cd1 0.0000 0.5000 0.0000  2 W 2.63
Cd2 0.0000 0.0000 0.5000  2 W 2.63
Cd3 0.5000 0.0000 0.0000  2 W 2.63

Summary:
**Energy relative to the lowest polymorph listed for this composition**: 0.117 eV per atom
**Formation energy (no corrections)**: 7.8 eV/f.u.
**DOS at the Fermi energy**: 2.69 states/eV per cell
**Total energy**: -13.31 eV per cell